1.
The following is a DFT calculation (PBE-GGA) of crystalline NaZnCl3 at its relaxed geometry.

The formation energy without anion corrections is -1.38 eV per atom. The value obtained for the density of states at the Fermi level is 0.0 states/eV per cell.

The space group is P1 (No. 1) and the conventional cell measures 4.512, 6.895 and 9.475 Å, with angles of 69.72, 89.79 and 86.21 degrees. The inequivalent atoms are Na at (0.000, 0.000, 0.000), Na at (0.458, 0.525, 0.887), Zn at (0.227, 0.311, 0.268), Zn at (0.234, 0.214, 0.619), Cl at (0.010, 0.062, 0.466), Cl at (0.450, 0.464, 0.421), Cl at (0.474, 0.136, 0.131), Cl at (0.491, 0.952, 0.804), Cl at (0.969, 0.573, 0.083) and Cl at (0.986, 0.389, 0.756).

=====

2.
The following is a DFT calculation (PBE-GGA) of crystalline Na2Zn2Cl5 at its relaxed geometry.

The formation energy without anion corrections is -1.17 eV per atom. The value obtained for the density of states at the Fermi level is 2.4 states/eV per cell.

The space group is C2/m (No. 12) and the conventional cell measures 13.350, 5.045 and 7.389 Å, with angles of 90.00, 118.61 and 90.00 degrees. The inequivalent atoms are Na at (0.112, 0.000, 0.296), Zn at (0.134, 0.500, 0.846), Cl at (0.000, 0.500, 0.000), Cl at (0.137, 0.000, 0.886) and Cl at (0.152, 0.500, 0.540).